1.
Material: CaGaS2O8
Method: DFT, PBE
State: relaxed

extended XYZ file:
```
12
Lattice="-4.077 -2.683 -1.866 3.723 -2.460 2.718 -3.533 1.229 5.951" Properties=species:S:1:pos:R:3 pbc="T T T"
Ca 0.000 0.000 0.000
Ga -1.766 0.615 2.975
S -2.212 -2.353 0.901
S -1.675 -1.561 5.902
O 1.117 -2.532 1.199
O -1.755 -1.043 1.476
O -3.680 -2.294 0.591
O -5.004 -1.381 5.603
O -0.207 -1.620 6.212
O -2.132 -2.870 5.327
O -1.952 -0.448 4.934
O -1.934 -3.466 1.869
```

Computed properties:
The raw formation energy comes out at -1.6205 eV/atom. The symmetry is P-3, No. 147.


2.
Material: CaGaSbO5
Method: DFT, PBE
State: relaxed

extended XYZ file:
```
16
Lattice="5.733 0.017 -0.071 -1.657 5.488 -0.071 -1.780 -2.404 6.806" Properties=species:S:1:pos:R:3 pbc="T T T"
Ca 0.353 3.070 1.631
Ca 1.943 0.031 5.034
Ga 2.968 1.133 1.631
Ga -0.672 1.968 5.034
Sb -0.890 -1.202 3.403
Sb 0.000 0.000 0.000
O -1.518 4.455 1.631
O 3.814 -1.354 5.034
O 4.487 1.459 0.615
O -2.191 1.642 6.050
O 3.100 -0.414 2.647
O -0.804 3.515 4.017
O 2.447 2.521 2.755
O -0.151 0.581 3.909
O 1.489 1.227 0.507
O 0.807 1.874 6.158
```

Computed properties:
The raw formation energy comes out at -2.0658 eV/atom. The symmetry is C2/c, No. 15.


3.
Material: CaGaSb2O8
Method: DFT, PBE
State: relaxed

extended XYZ file:
```
12
Lattice="-3.836 -2.970 -0.357 2.476 -3.509 -2.287 1.502 -2.618 5.641" Properties=species:S:1:pos:R:3 pbc="T T T"
Ca 0.751 -1.309 2.820
Ga 0.000 0.000 0.000
Sb 0.452 -5.213 2.931
Sb -0.311 -3.884 0.066
O 1.519 -3.976 -0.640
O 0.562 -7.105 3.809
O -2.213 -3.664 0.499
O -1.377 -5.120 3.636
O -0.421 -1.992 -0.812
O 2.354 -5.432 2.498
O -0.165 -5.686 1.033
O 0.307 -3.410 1.964
```

Computed properties:
The raw formation energy comes out at -1.6060 eV/atom. The symmetry is Cmmm, No. 65.